Density functional theory data (PBE) for crystalline La2GeN3 at its relaxed geometry.

The structure in POSCAR format:
```
La2GeN3
1.0
2.809 -5.577 0.000
2.809 5.577 0.000
-0.646 0.000 12.082
La Ge N
8 4 12
direct
0.035 0.430 0.354
0.122 0.347 0.930
0.347 0.122 0.430
0.430 0.035 0.854
0.570 0.965 0.146
0.653 0.878 0.570
0.878 0.653 0.070
0.965 0.570 0.646
0.268 0.268 0.164
0.268 0.268 0.664
0.732 0.732 0.336
0.732 0.732 0.836
0.012 0.988 0.750
0.128 0.328 0.538
0.144 0.475 0.135
0.328 0.128 0.038
0.409 0.591 0.750
0.475 0.144 0.635
0.525 0.856 0.365
0.591 0.409 0.250
0.672 0.872 0.962
0.856 0.525 0.865
0.872 0.672 0.462
0.988 0.012 0.250
```

Summary:
Density = 6.89 g/cm3
Formation energy without anion corrections = -0.874 eV per atom
Polymorph energy (0 for the lowest one) = 0.013 eV/atom